Entry one
# PBE TlBi2Br6, optimized geometry
data_TlBi2Br6
_chemical_formula_sum 'Tl1 Bi2 Br6'
_cell_length_a 7.8597
_cell_length_b 7.8597
_cell_length_c 6.8944
_cell_angle_alpha 90.00
_cell_angle_beta 90.00
_cell_angle_gamma 120.00
_space_group_name_H-M_alt 'P -3 1 m'
_space_group_IT_number 162
_space_group_name_Hall '-P 3 2'
loop_
_atom_site_label
_atom_site_type_symbol
_atom_site_fract_x
_atom_site_fract_y
_atom_site_fract_z
_atom_site_occupancy
Tl1 Tl 0.0000 0.0000 0.0000 1
Bi1 Bi 0.3333 0.6667 0.5000 1
Br1 Br 0.0000 0.3615 0.7267 1
# Total moment = 0.00 μB/f.u.

---

Entry two
# PBE TlBi2Br6, optimized geometry
data_TlBi2Br6
_chemical_formula_sum 'Tl4 Bi8 Br24'
_cell_length_a 14.332
_cell_length_b 13.373
_cell_length_c 11.587
_cell_angle_alpha 90.00
_cell_angle_beta 123.23
_cell_angle_gamma 90.00
_space_group_name_H-M_alt 'C 1 2/c 1'
_space_group_IT_number 15
_space_group_name_Hall '-C 2yc'
loop_
_atom_site_label
_atom_site_type_symbol
_atom_site_fract_x
_atom_site_fract_y
_atom_site_fract_z
_atom_site_occupancy
Tl1 Tl 0.000 0.058 0.250 1
Bi1 Bi 0.131 0.432 0.219 1
Br1 Br 0.120 0.236 0.168 1
Br2 Br 0.121 0.483 0.472 1
Br3 Br 0.140 0.058 0.612 1
# Total moment = 0.00 μB/f.u.

---

Which of them is most stable? Easy: entry one.

---

Entry one
# PBE VBi3Br, optimized geometry
data_VBi3Br
_chemical_formula_sum 'V1 Bi3 Br1'
_cell_length_a 5.280
_cell_length_b 5.280
_cell_length_c 5.280
_cell_angle_alpha 90.00
_cell_angle_beta 90.00
_cell_angle_gamma 90.00
_space_group_name_H-M_alt 'P m -3 m'
_space_group_IT_number 221
_space_group_name_Hall '-P 4 2 3'
loop_
_atom_site_label
_atom_site_type_symbol
_atom_site_fract_x
_atom_site_fract_y
_atom_site_fract_z
_atom_site_occupancy
V1 V 0.000 0.000 0.000 1
Bi1 Bi 0.000 0.000 0.500 1
Br1 Br 0.500 0.500 0.500 1
# Total moment = 0.00 μB/f.u.

---

Entry two
# PBE VBi3Br, optimized geometry
data_VBi3Br
_chemical_formula_sum 'V1 Bi3 Br1'
_cell_length_a 5.615
_cell_length_b 5.615
_cell_length_c 5.615
_cell_angle_alpha 90.00
_cell_angle_beta 90.00
_cell_angle_gamma 90.00
_space_group_name_H-M_alt 'P m -3 m'
_space_group_IT_number 221
_space_group_name_Hall '-P 4 2 3'
loop_
_atom_site_label
_atom_site_type_symbol
_atom_site_fract_x
_atom_site_fract_y
_atom_site_fract_z
_atom_site_occupancy
V1 V 0.000 0.000 0.000 1
Bi1 Bi 0.000 0.500 0.500 1
Br1 Br 0.500 0.500 0.500 1
# Total moment = 3.21 μB/f.u.

---

Which of them is most stable? Easy: entry one.